DFT (PBE) results for an optimized crystal structure of Tb8PrY2.

The structure in POSCAR format:
```
Tb8PrY2
1.0
4.564 -8.342 0.000
4.564 8.342 0.000
-3.544 0.000 4.784
Tb Pr Y
8 1 2
Cartesian
-0.436 2.069 3.337
4.564 4.944 0.000
-0.436 -2.069 3.337
3.290 0.000 1.007
2.293 0.000 3.777
6.019 2.069 1.447
4.564 -4.944 0.000
6.019 -2.069 1.447
0.000 0.000 0.000
2.792 3.161 2.392
2.792 -3.161 2.392
```

***

DFT (PBE) results for an optimized crystal structure of TbPr2Y.

The structure in POSCAR format:
```
TbPr2Y
1.0
1.829 1.056 11.805
-1.829 1.056 11.805
0.000 -2.111 11.805
Tb Pr Y
1 2 1
Cartesian
0.000 0.000 0.000
0.000 0.000 14.788
0.000 0.000 20.685
0.000 0.000 5.933
```

***

DFT (PBE) results for an optimized crystal structure of Tb2PrY2.

The structure in POSCAR format:
```
Tb2PrY2
1.0
9.436 0.000 0.000
0.000 9.436 0.000
0.000 0.000 3.777
Tb Pr Y
4 2 4
Cartesian
1.184 3.534 0.000
3.534 8.252 0.000
5.902 1.184 0.000
8.252 5.902 0.000
0.000 0.000 0.000
4.718 4.718 0.000
1.617 6.335 1.888
3.101 1.617 1.888
6.335 7.819 1.888
7.819 3.101 1.888
```

***

DFT (PBE) results for an optimized crystal structure of Tb4Pr3Y2.

The structure in POSCAR format:
```
Tb4Pr3Y2
1.0
8.382 -5.906 0.000
8.382 5.906 0.000
-0.825 0.000 6.059
Tb Pr Y
8 6 4
Cartesian
6.720 4.368 5.924
4.603 1.590 0.896
8.806 4.368 3.165
4.190 -1.590 3.926
11.748 1.590 2.134
7.132 -4.368 2.895
11.336 -1.590 5.163
9.219 -4.368 0.135
2.313 1.274 3.535
2.726 -1.274 0.505
8.176 1.339 1.515
7.763 -1.339 4.544
13.212 1.274 5.554
13.625 -1.274 2.524
5.861 1.504 4.188
9.665 1.504 4.900
6.274 -1.504 1.159
10.078 -1.504 1.871
```

***

DFT (PBE) results for an optimized crystal structure of TbPr12Y6.

The structure in POSCAR format:
```
TbPr12Y6
1.0
6.156 3.554 5.138
-6.156 3.554 5.138
0.000 -7.108 5.138
Tb Pr Y
1 12 6
Cartesian
0.000 0.000 0.000
-2.113 -0.016 2.959
1.070 -1.821 2.959
-2.143 -0.515 6.418
1.042 1.838 2.959
-0.626 -2.114 8.994
1.518 -1.599 6.418
-1.518 1.599 8.994
0.626 2.114 6.418
-1.042 -1.838 12.453
2.143 0.515 8.994
-1.070 1.821 12.453
2.113 0.016 12.453
-0.987 -3.731 5.469
-2.737 2.720 5.469
-3.724 -1.011 9.944
3.724 1.011 5.469
2.737 -2.720 9.944
0.987 3.731 9.944
```

***

DFT (PBE) results for an optimized crystal structure of Tb2Pr3Y6.

The structure in POSCAR format:
```
Tb2Pr3Y6
1.0
3.118 -5.415 0.000
3.118 5.415 0.000
-2.120 0.000 11.475
Tb Pr Y
2 3 6
Cartesian
3.118 3.617 0.000
3.118 -3.617 0.000
-1.060 0.000 5.738
2.057 1.780 5.738
2.057 -1.780 5.738
-0.027 1.800 8.665
1.033 0.000 2.817
-0.027 -1.800 8.665
4.142 1.800 2.810
3.082 0.000 8.658
4.142 -1.800 2.810
```

***

no.,E_form (eV/atom)
1,0.15
2,0.02
3,0.08
4,0.10
5,0.13
6,0.20